1.
The following is a PBE-GGA calculation of crystalline Sr4Pt at its relaxed geometry, from Alexandria. Values from VASP.

Quantum ESPRESSO input file:
```
&SYSTEM
  ibrav = 0, nat = 5, ntyp = 2
/
ATOMIC_SPECIES
Sr 87.62 Sr.upf
Pt 195.08 Pt.upf
CELL_PARAMETERS angstrom
-2.224 2.224 10.554
2.224 -2.224 10.554
2.224 2.224 -10.554
ATOMIC_POSITIONS angstrom
Sr 0.000 2.224 5.277
Sr 0.000 0.000 8.867
Sr 0.000 0.000 12.242
Sr 2.224 0.000 5.277
Pt 0.000 0.000 0.000
```

Values from the calculation:
- Energy of formation from the pure elements: 0.3005 eV per atom
- DOS at the Fermi energy: 4.6 states/eV per cell
- Space-group type: I4/mmm
- M_tot: 0.001 μB per formula unit



2.
The following is a PBE-GGA calculation of crystalline Dy6Er8Sn at its relaxed geometry, from Alexandria. Values from VASP.

Quantum ESPRESSO input file:
```
&SYSTEM
  ibrav = 0, nat = 15, ntyp = 3
/
ATOMIC_SPECIES
Dy 162.50 Dy.upf
Er 167.26 Er.upf
Sn 118.71 Sn.upf
CELL_PARAMETERS angstrom
-5.245 -3.562 -2.199
1.984 -6.579 5.927
-5.583 6.739 2.402
ATOMIC_POSITIONS angstrom
Dy -2.235 -6.147 2.893
Dy -4.735 -4.147 5.618
Dy -4.170 -2.593 1.752
Dy -6.610 2.744 3.237
Dy -4.110 0.744 0.512
Dy -4.675 -0.809 4.378
Er -4.452 -7.528 4.628
Er -7.041 -3.165 3.733
Er -4.098 -5.217 0.037
Er -4.392 4.126 1.502
Er -1.804 -0.238 2.397
Er -4.747 1.815 6.093
Er -7.283 -0.568 1.807
Er -1.562 -2.835 4.323
Sn -2.623 -1.781 -1.099
```

Values from the calculation:
- Energy of formation from the pure elements: 0.1690 eV per atom
- DOS at the Fermi energy: 21.5 states/eV per cell
- Space-group type: P-3
- M_tot: 0.000 μB per formula unit



3.
The following is a PBE-GGA calculation of crystalline ZnRuBr2 at its relaxed geometry, from Alexandria. Values from VASP.

Quantum ESPRESSO input file:
```
&SYSTEM
  ibrav = 0, nat = 4, ntyp = 3
/
ATOMIC_SPECIES
Ru 101.07 Ru.upf
Zn 65.41 Zn.upf
Br 79.90 Br.upf
CELL_PARAMETERS angstrom
2.169 0.000 10.123
-1.084 1.878 10.123
-1.084 -1.878 10.123
ATOMIC_POSITIONS angstrom
Ru 0.000 0.000 15.184
Zn 0.000 0.000 0.000
Br 0.000 0.000 26.635
Br 0.000 0.000 3.733
```

Values from the calculation:
- DOS at the Fermi energy: 0.0 states/eV per cell
- E_tot: -13.15 eV/cell
- Space-group type: R-3m
- M_tot: 0.000 μB per formula unit



4.
The following is a PBE-GGA calculation of crystalline Ho2FeIr3 at its relaxed geometry, from Alexandria. Values from VASP.

Quantum ESPRESSO input file:
```
&SYSTEM
  ibrav = 0, nat = 12, ntyp = 3
/
ATOMIC_SPECIES
Ho 164.93 Ho.upf
Fe 55.84 Fe.upf
Ir 192.22 Ir.upf
CELL_PARAMETERS angstrom
-5.153 -1.579 0.800
2.508 -1.162 -4.695
2.667 -7.094 3.180
ATOMIC_POSITIONS angstrom
Ho -1.435 -4.537 0.356
Ho 1.457 -5.297 -1.072
Ho 2.452 -7.945 0.115
Ho -2.430 -1.889 -0.831
Fe 1.333 -3.547 1.590
Fe 0.000 0.000 0.000
Ir 0.644 -2.431 -0.652
Ir 0.687 -6.048 1.863
Ir -0.622 -7.404 -0.064
Ir 1.884 -3.006 -2.975
Ir -1.862 -6.829 2.259
Ir -0.665 -3.787 -2.579
```

Values from the calculation:
- Energy of formation from the pure elements: -0.6950 eV per atom
- DOS at the Fermi energy: 9.1 states/eV per cell
- Space-group type: P6_3/mmc
- M_tot: 2.888 μB per formula unit



5.
The following is a PBE-GGA calculation of crystalline Pr5Ga4 at its relaxed geometry, from Alexandria. Values from VASP.

Quantum ESPRESSO input file:
```
&SYSTEM
  ibrav = 0, nat = 9, ntyp = 2
/
ATOMIC_SPECIES
Pr 140.91 Pr.upf
Ga 69.72 Ga.upf
CELL_PARAMETERS angstrom
-2.681 0.528 3.728
0.674 -4.599 4.001
6.185 3.898 6.762
ATOMIC_POSITIONS angstrom
Pr 3.547 1.581 5.192
Pr 0.631 -1.754 9.298
Pr 3.527 0.642 11.041
Pr 0.651 -0.816 3.449
Pr 0.000 0.000 0.000
Ga 4.056 2.273 8.326
Ga 0.122 -2.446 6.164
Ga 3.159 -0.188 8.029
Ga 1.019 0.015 6.461
```

Values from the calculation:
- Energy of formation from the pure elements: -0.5169 eV per atom
- DOS at the Fermi energy: 8.8 states/eV per cell
- Space-group type: C2/m
- M_tot: 0.000 μB per formula unit



6.
The following is a PBE-GGA calculation of crystalline Pu3Np2O9 at its relaxed geometry, from Alexandria. Values from VASP.

Quantum ESPRESSO input file:
```
&SYSTEM
  ibrav = 0, nat = 14, ntyp = 3
/
ATOMIC_SPECIES
Pu 244.00 Pu.upf
Np 237.00 Np.upf
O 16.00 O.upf
CELL_PARAMETERS angstrom
-1.911 1.911 13.450
1.911 -1.911 13.450
1.911 1.911 -13.450
ATOMIC_POSITIONS angstrom
Pu 1.911 0.000 4.084
Pu 1.911 0.000 9.366
Pu 0.000 1.911 6.725
Np 0.000 1.911 12.036
Np 0.000 1.911 1.414
O 0.000 0.000 16.101
O 0.000 0.000 5.326
O 0.000 0.000 21.575
O 0.000 0.000 10.799
O 0.000 0.000 24.479
O 0.000 0.000 13.450
O 0.000 0.000 2.421
O 0.000 0.000 18.845
O 0.000 0.000 8.055
```

Values from the calculation:
- DOS at the Fermi energy: 28.0 states/eV per cell
- E_tot: -154.19 eV/cell
- Space-group type: I-4m2
- M_tot: 12.934 μB per formula unit



7.
The following is a PBE-GGA calculation of crystalline CaSiPb4 at its relaxed geometry, from Alexandria. Values from VASP.

Quantum ESPRESSO input file:
```
&SYSTEM
  ibrav = 0, nat = 6, ntyp = 3
/
ATOMIC_SPECIES
Ca 40.08 Ca.upf
Si 28.09 Si.upf
Pb 207.20 Pb.upf
CELL_PARAMETERS angstrom
1.542 -3.864 4.910
-2.622 0.962 5.798
-4.334 -4.163 2.302
ATOMIC_POSITIONS angstrom
Ca 0.000 0.000 0.000
Si -4.061 -5.299 9.758
Pb -1.260 -4.581 7.334
Pb -4.197 -4.731 6.030
Pb -3.341 -2.169 7.778
Pb -2.031 -2.650 4.879
```

Values from the calculation:
- DOS at the Fermi energy: 3.2 states/eV per cell
- E_tot: -20.80 eV/cell
- Space-group type: F-43m
- M_tot: 0.000 μB per formula unit



8.
The following is a PBE-GGA calculation of crystalline K2CuSnCl5 at its relaxed geometry, from Alexandria. Values from VASP.

Quantum ESPRESSO input file:
```
&SYSTEM
  ibrav = 0, nat = 18, ntyp = 4
/
ATOMIC_SPECIES
K 39.10 K.upf
Cu 63.55 Cu.upf
Sn 118.71 Sn.upf
Cl 35.45 Cl.upf
CELL_PARAMETERS angstrom
4.130 0.000 0.000
-2.065 9.241 0.000
0.000 0.000 13.339
ATOMIC_POSITIONS angstrom
K 2.065 6.912 10.968
K 0.000 2.083 9.240
K 0.000 2.329 4.299
K 2.065 7.158 2.570
Cu 2.065 0.342 12.707
Cu 0.000 8.899 6.037
Sn 2.065 5.593 6.833
Sn 0.000 3.648 0.164
Cl 0.000 6.309 0.119
Cl 2.065 3.690 11.498
Cl 0.000 9.226 10.471
Cl 0.000 5.431 8.820
Cl 2.065 8.785 7.031
Cl 2.065 2.932 6.788
Cl 0.000 5.551 4.829
Cl 2.065 0.015 3.801
Cl 2.065 3.810 2.150
Cl 0.000 0.456 0.362
```

Values from the calculation:
- DOS at the Fermi energy: 0.0 states/eV per cell
- E_tot: -62.56 eV/cell
- Space-group type: Cmc2_1
- M_tot: 0.000 μB per formula unit